DFT (PBE-GGA) results for a relaxed SiHg2 crystal.

extended XYZ file:
```
3
Lattice="-0.5446 -3.6436 -1.3325 0.8366 0.5987 3.7801 -5.0808 0.3696 1.0660" Properties=species:S:1:pos:R:3 pbc="T T T"
Hg -3.1733 -0.5572 2.8206
Hg -1.6155 -2.1181 0.6930
Si -0.5446 -3.6436 -1.3325
```

Its crystal system is trigonal. The space group is P-3m1 (164). For the energy above the most stable polymorph in this dataset, the calculation gives 0.679 eV/f.u.